(1)
First-principles (GGA+U) data for a relaxed structure of CdCoW2O8, as listed in Alexandria via LeMat-Bulk.

Properties
size of the total moment: 3.008 μB per formula unit
Fermi-level density of states: 0.000 states/eV per atom
total DFT energy (no corrections): -6.550 eV per atom

a = 6.972 Å, b = 6.972 Å, c = 7.134 Å
α = 90.00°, β = 90.00°, γ = 90.00°
Space group I-4m2 (No. 119)
Unique sites:
Cd 0.000 0.000 0.000 (multiplicity 2)
Co 0.000 0.500 0.250 (multiplicity 2)
W 0.000 0.000 0.500 (multiplicity 2)
W 0.000 0.500 0.750 (multiplicity 2)
O 0.000 0.214 0.352 (multiplicity 8)
O 0.000 0.295 0.904 (multiplicity 8)

(2)
First-principles (GGA+U) data for a relaxed structure of Cd2CoWO6, as listed in Alexandria via LeMat-Bulk.

Properties
size of the total moment: 3.008 μB per formula unit
Fermi-level density of states: 0.000 states/eV per atom
total DFT energy (no corrections): -5.824 eV per atom

a = 5.452 Å, b = 5.578 Å, c = 9.583 Å
α = 90.00°, β = 124.55°, γ = 90.00°
Space group P2_1/c (No. 14)
Unique sites:
Cd 0.239 0.045 0.250 (multiplicity 4)
Co 0.500 0.000 0.000 (multiplicity 2)
W 0.000 0.000 0.500 (multiplicity 2)
O 0.124 0.211 0.940 (multiplicity 4)
O 0.241 0.692 0.950 (multiplicity 4)
O 0.343 0.041 0.738 (multiplicity 4)